Entry 1:
Density functional theory data (PBEsol) for FePbCl2 after structural relaxation.

Lattice parameters (Å, degrees): 3.2591 3.2591 7.7121 90.00 90.00 90.00
Closest atoms and distances in Å follow each position.
Atoms (fractional coordinates):
Fe  0.0000  0.0000  0.0000  4 Cl 2.50
Pb  0.5000  0.5000  0.2799  5 Cl 3.00-3.13, 4 Fe 3.16, 4 Pb 3.26
Cl  0.0000  0.0000  0.5285  4 Pb 3.00, 4 Cl 3.26
Cl  0.5000  0.5000  0.8746  4 Fe 2.50

Output
**Magnetization**: 3.122 μB per cell
**Space-group type**: P4mm, No. 99
**Relative energy among the computed polymorphs**: 0.501 eV per formula unit
**Formation energy from raw total energies**: -134 meV per atom

---

Entry 2:
Density functional theory data (PBEsol) for FePb2Cl after structural relaxation.

Lattice parameters (Å, degrees): 5.0334 5.0334 5.0334 60.00 60.00 60.00
Closest atoms and distances in Å follow each position.
Atoms (fractional coordinates):
Fe  0.0000  0.0000  0.0000  8 Pb 3.08
Pb  0.2500  0.2500  0.2500  4 Cl 3.08, 4 Fe 3.08
Pb  0.7500  0.7500  0.7500  4 Cl 3.08, 4 Fe 3.08
Cl  0.5000  0.5000  0.5000  8 Pb 3.08

Output
**Magnetization**: 2.683 μB per cell
**Space-group type**: Fm-3m, No. 225
**Relative energy among the computed polymorphs**: 1.488 eV per formula unit
**Formation energy from raw total energies**: 422 meV per atom

---

Entry 3:
Density functional theory data (PBEsol) for FePbCl2 after structural relaxation.

Lattice parameters (Å, degrees): 5.6582 5.6582 5.6582 145.91 123.42 67.74
Closest atoms and distances in Å follow each position.
Atoms (fractional coordinates):
Fe  0.0000  0.0000  0.0000  4 Cl 2.37
Pb  0.5000  0.5000  0.0000  4 Fe 3.15, 8 Cl 3.17-3.44, 2 Pb 3.32
Cl  0.1795  0.6795  0.5000  2 Fe 2.37
Cl  0.8205  0.3205  0.5000  2 Fe 2.37

Output
**Magnetization**: 2.870 μB per cell
**Space-group type**: Immm, No. 71
**Relative energy among the computed polymorphs**: 0.000 eV per formula unit
**Formation energy from raw total energies**: -259 meV per atom

---

Entry 4:
Density functional theory data (PBEsol) for FePbCl after structural relaxation.

Lattice parameters (Å, degrees): 7.0172 7.0172 7.0172 154.72 154.72 36.05
Closest atoms and distances in Å follow each position.
Atoms (fractional coordinates):
Fe  0.0000  0.0000  0.0000  4 Cl 2.51
Pb  0.6611  0.6611  0.0000  4 Fe 3.06, 4 Pb 3.07, 1 Cl 3.42
Cl  0.4050  0.4050  0.0000  4 Fe 2.51

Output
**Magnetization**: 3.027 μB per cell
**Space-group type**: I4mm, No. 107
**Formation energy from raw total energies**: 78 meV per atom